KBSe2: optimized geometry, PBE.

Structure (CIF):
```
data_KBSe2
_chemical_formula_sum 'K1 B1 Se2'
_space_group_name_H-M_alt 'P 1'
_space_group_IT_number 1
_space_group_name_Hall 'P 1'
_cell_length_a 7.0490
_cell_length_b 7.0490
_cell_length_c 7.0490
_cell_angle_alpha 46.13
_cell_angle_beta 46.13
_cell_angle_gamma 46.13
loop_
_atom_site_label
_atom_site_fract_x
_atom_site_fract_y
_atom_site_fract_z
_atom_site_occupancy
Se1 0.0963 0.0963 0.0963 1
Se2 0.9037 0.9037 0.9037 1
K1 0.5000 0.5000 0.5000 1
B1 0.0000 0.0000 0.0000 1
```

The value obtained for the formation energy without anion corrections is -0.534 eV per atom. For the magnetic moment, the calculation gives 0.000 μB/f.u. The value obtained for the final energy is -4.220 eV/atom. Its density of states at the Fermi level is 0.00 states/eV per atom.